Below is a relaxed Cu2GeTe2S crystal, with properties calculated at the GGA-PBE level.

Values from the calculation:
E_tot = -3.89 eV/atom
symmetry = Imm2, No. 44

Geometry as POSCAR:
```
Cu2GeTe2S
1.0
1.649 -1.222 -6.829
3.862 0.378 5.982
-4.144 -4.132 -4.074
Cu Ge S Te
2 1 1 2
direct
0.108 0.760 0.349 Cu
0.411 0.760 0.651 Cu
0.715 0.715 0.000 Ge
0.490 0.990 0.500 S
0.172 0.001 0.170 Te
0.831 0.001 0.830 Te
```